[1]
Here is a relaxed La3Mg7Sn4 crystal from the Alexandria database. Energies are from GGA-PBE.

abc: 4.7054 9.0656 9.5937
angles: 71.67 75.80 74.96
Closest atoms and distances in Å follow each position.
Element x y z (fractional)
La1 0.3079 0.1871 0.1971  4 Sn 3.42-3.44, 10 Mg 3.45-3.70
La2 0.6921 0.8129 0.8029  4 Sn 3.42-3.44, 10 Mg 3.45-3.70
La3 0.0000 0.5000 0.5000  6 Sn 3.42-3.49, 4 Mg 3.79
Mg1 0.3229 0.8332 0.5211  4 Sn 2.86-2.96
Mg2 0.4913 0.2037 0.8137  3 Sn 2.88-3.01, 5 Mg 3.16-3.22
Mg3 0.8447 0.3782 0.9324  3 Sn 2.98-3.09, 3 Mg 3.16-3.20
Mg4 0.6771 0.1668 0.4789  4 Sn 2.86-2.96
Mg5 0.1553 0.6218 0.0676  3 Sn 2.98-3.09, 3 Mg 3.16-3.20
Mg6 0.0000 0.0000 0.0000  2 Sn 3.04, 6 Mg 3.17-3.20
Mg7 0.5087 0.7963 0.1863  3 Sn 2.88-3.01, 5 Mg 3.16-3.22
Sn1 0.6530 0.4571 0.2368  5 Mg 2.88-3.09
Sn2 0.3469 0.5429 0.7632  5 Mg 2.88-3.09
Sn3 0.8803 0.9000 0.3394  6 Mg 2.86-3.04
Sn4 0.1197 0.1000 0.6606  6 Mg 2.86-3.04

Results
Formation enthalpy at 0 K in meV/atom: -458
Spin magnetization in μB per atom: 0.000
SG: C2/m (12)
E in eV/cell: -48.4
Density of states at the Fermi level in states/eV per cell: 5.0

***

[2]
Here is a relaxed Hg2AsAu crystal from the Alexandria database. Energies are from GGA-PBE.

abc: 3.9307 3.9307 5.6469
angles: 90.00 90.00 90.00
Closest atoms and distances in Å follow each position.
Element x y z (fractional)
As1 0.5000 0.5000 0.2500  2 Au 2.82, 8 Hg 3.12
Au1 0.5000 0.5000 0.7500  2 As 2.82, 8 Hg 3.11
Hg1 0.0000 0.0000 0.9988  2 Hg 2.81-2.84, 4 Au 3.11, 4 As 3.12
Hg2 0.0000 0.0000 0.5012  2 Hg 2.81-2.84, 4 Au 3.11, 4 As 3.12

Results
Formation enthalpy at 0 K in meV/atom: 267
Spin magnetization in μB per atom: 0.000
SG: P4/mmm (123)
E in eV/cell: -7.5
Density of states at the Fermi level in states/eV per cell: 2.0

***

[3]
Here is a relaxed AcTbS2O8 crystal from the Alexandria database. Energies are from GGA-PBE.

abc: 5.6103 5.6103 7.3693
angles: 90.00 90.00 120.00
Closest atoms and distances in Å follow each position.
Element x y z (fractional)
Ac1 0.0000 0.0000 0.5000  6 O 2.63
Tb1 0.0000 0.0000 0.0000  6 O 2.28
S1 0.3333 0.6667 0.7454  4 O 1.51-1.65
S2 0.6667 0.3333 0.2546  4 O 1.51-1.65
O1 0.1661 0.3323 0.7820  1 S 1.65
O2 0.1661 0.8339 0.7820  1 S 1.65
O3 0.6677 0.8339 0.7820  1 S 1.65
O4 0.3323 0.1661 0.2180  1 S 1.65
O5 0.6667 0.3333 0.4594  1 S 1.51
O6 0.3333 0.6667 0.5406  1 S 1.51
O7 0.8339 0.6677 0.2180  1 S 1.65
O8 0.8339 0.1661 0.2180  1 S 1.65

Results
Spin magnetization in μB per atom: 0.122
SG: P-3m1 (164)
E in eV/cell: -79.6
Density of states at the Fermi level in states/eV per cell: 3.0

***

[4]
Here is a relaxed CeBiPd2 crystal from the Alexandria database. Energies are from GGA-PBE.

abc: 3.7364 3.7364 6.4689
angles: 90.00 90.00 90.00
Closest atoms and distances in Å follow each position.
Element x y z (fractional)
Pd1 0.0000 0.0000 0.7752  1 Pd 2.91, 4 Ce 3.02, 4 Bi 3.19
Pd2 0.0000 0.0000 0.2248  1 Pd 2.91, 4 Ce 3.02, 4 Bi 3.19
Bi1 0.5000 0.5000 0.5000  8 Pd 3.19, 2 Ce 3.23
Ce1 0.5000 0.5000 0.0000  8 Pd 3.02, 2 Bi 3.23

Results
Formation enthalpy at 0 K in meV/atom: -524
Spin magnetization in μB per atom: 0.081
SG: P4/mmm (123)
E in eV/cell: -22.3
Density of states at the Fermi level in states/eV per cell: 3.6

***

[5]
Here is a relaxed NbSCl crystal from the Alexandria database. Energies are from GGA-PBE.

abc: 5.0019 5.0029 4.9597
angles: 90.00 90.00 93.14
Closest atoms and distances in Å follow each position.
Element x y z (fractional)
Nb1 0.6995 0.1993 0.0000  4 S 2.43-2.63, 2 Cl 2.50
Nb2 0.3005 0.8007 0.0000  4 S 2.43-2.63, 2 Cl 2.50
S1 0.7768 0.7229 0.0000  4 Nb 2.43-2.63
S2 0.2232 0.2771 0.0000  4 Nb 2.43-2.63
Cl1 0.7451 0.2448 0.5000  2 Nb 2.50
Cl2 0.2549 0.7552 0.5000  2 Nb 2.50

Results
Spin magnetization in μB per atom: 0.000
SG: Cmmm (65)
E in eV/cell: -37.5
Density of states at the Fermi level in states/eV per cell: 2.7

***

[6]
Here is a relaxed La3Dy5O12 crystal from the Alexandria database. Energies are from GGA-PBE.

abc: 11.9489 11.9489 11.9489
angles: 109.47 109.47 109.47
Closest atoms and distances in Å follow each position.
Element x y z (fractional)
Dy1 0.1250 0.3750 0.2500  4 O 2.13
Dy2 0.0000 0.5000 0.0000  6 O 2.29
Dy3 0.0000 0.0000 0.0000  6 O 2.29
Dy4 0.3750 0.2500 0.1250  4 O 2.13
Dy5 0.5000 0.0000 0.5000  6 O 2.29
Dy6 0.5000 0.5000 0.0000  6 O 2.29
Dy7 0.1250 0.7500 0.3750  4 O 2.13
Dy8 0.7500 0.1250 0.8750  4 O 2.13
Dy9 0.7500 0.6250 0.3750  4 O 2.13
Dy10 0.3750 0.1250 0.7500  4 O 2.13
Dy11 0.6250 0.8750 0.2500  4 O 2.13
Dy12 0.5000 0.5000 0.5000  6 O 2.29
Dy13 0.5000 0.0000 0.0000  6 O 2.29
Dy14 0.0000 0.0000 0.5000  6 O 2.29
Dy15 0.2500 0.3750 0.6250  4 O 2.13
Dy16 0.2500 0.8750 0.1250  4 O 2.13
Dy17 0.0000 0.5000 0.5000  6 O 2.29
Dy18 0.8750 0.2500 0.6250  4 O 2.13
Dy19 0.6250 0.7500 0.8750  4 O 2.13
Dy20 0.8750 0.6250 0.7500  4 O 2.13
O1 0.7137 0.1294 0.0386  2 Dy 2.13-2.29
O2 0.3250 0.5386 0.4093  2 Dy 2.13-2.29
O3 0.9614 0.3706 0.2863  2 Dy 2.13-2.29
O4 0.5386 0.2137 0.1294  2 Dy 2.13-2.29
O5 0.5843 0.7137 0.6750  2 Dy 2.13-2.29
O6 0.9614 0.5907 0.1750  2 Dy 2.13-2.29
O7 0.3250 0.7863 0.4157  2 Dy 2.13-2.29
O8 0.0907 0.9157 0.1294  2 Dy 2.13-2.29
O9 0.5907 0.9614 0.6750  2 Dy 2.13-2.29
O10 0.7137 0.5843 0.1750  2 Dy 2.13-2.29
O11 0.7863 0.4614 0.3706  2 Dy 2.13-2.29
O12 0.8250 0.9093 0.0386  2 Dy 2.13-2.29
O13 0.1294 0.7137 0.5386  2 Dy 2.13-2.29
O14 0.3706 0.4093 0.0843  2 Dy 2.13-2.29
O15 0.0843 0.9093 0.3706  2 Dy 2.13-2.29
O16 0.4157 0.1294 0.5907  2 Dy 2.13-2.29
O17 0.0843 0.1750 0.2137  2 Dy 2.13-2.29
O18 0.4614 0.6750 0.0907  2 Dy 2.13-2.29
O19 0.8250 0.9157 0.2863  2 Dy 2.13-2.29
O20 0.1294 0.4157 0.0907  2 Dy 2.13-2.29
O21 0.3706 0.9614 0.7863  2 Dy 2.13-2.29
O22 0.5907 0.6294 0.4157  2 Dy 2.13-2.29
O23 0.9093 0.8250 0.5386  2 Dy 2.13-2.29
O24 0.7863 0.3250 0.9157  2 Dy 2.13-2.29
O25 0.4093 0.3706 0.5843  2 Dy 2.13-2.29
O26 0.0907 0.1750 0.4614  2 Dy 2.13-2.29
O27 0.2137 0.6750 0.0843  2 Dy 2.13-2.29
O28 0.1750 0.0843 0.7137  2 Dy 2.13-2.29
O29 0.6294 0.0386 0.2137  2 Dy 2.13-2.29
O30 0.8706 0.5843 0.9093  2 Dy 2.13-2.29
O31 0.5386 0.3250 0.9093  2 Dy 2.13-2.29
O32 0.5843 0.8706 0.4093  2 Dy 2.13-2.29
O33 0.9157 0.8250 0.7863  2 Dy 2.13-2.29
O34 0.9157 0.0907 0.6294  2 Dy 2.13-2.29
O35 0.8706 0.2863 0.4614  2 Dy 2.13-2.29
O36 0.1750 0.0907 0.9614  2 Dy 2.13-2.29
O37 0.6294 0.5907 0.9157  2 Dy 2.13-2.29
O38 0.4093 0.0386 0.3250  2 Dy 2.13-2.29
O39 0.2863 0.4157 0.8250  2 Dy 2.13-2.29
O40 0.2137 0.5386 0.6294  2 Dy 2.13-2.29
O41 0.9093 0.0843 0.8706  2 Dy 2.13-2.29
O42 0.6750 0.2137 0.5843  2 Dy 2.13-2.29
O43 0.4614 0.7863 0.8706  2 Dy 2.13-2.29
O44 0.0386 0.4093 0.8250  2 Dy 2.13-2.29
O45 0.4157 0.2863 0.3250  2 Dy 2.13-2.29
O46 0.0386 0.6294 0.7137  2 Dy 2.13-2.29
O47 0.6750 0.4614 0.5907  2 Dy 2.13-2.29
O48 0.2863 0.8706 0.9614  2 Dy 2.13-2.29
La1 0.7500 0.3750 0.1250  8 O 2.59-2.65
La2 0.8750 0.7500 0.1250  8 O 2.59-2.65
La3 0.3750 0.7500 0.6250  8 O 2.59-2.65
La4 0.2500 0.1250 0.3750  8 O 2.59-2.65
La5 0.8750 0.1250 0.2500  8 O 2.59-2.65
La6 0.3750 0.6250 0.2500  8 O 2.59-2.65
La7 0.6250 0.3750 0.7500  8 O 2.59-2.65
La8 0.1250 0.8750 0.7500  8 O 2.59-2.65
La9 0.7500 0.8750 0.6250  8 O 2.59-2.65
La10 0.6250 0.2500 0.3750  8 O 2.59-2.65
La11 0.1250 0.2500 0.8750  8 O 2.59-2.65
La12 0.2500 0.6250 0.8750  8 O 2.59-2.65

Results
Spin magnetization in μB per atom: 0.000
SG: Ia-3d (230)
E in eV/cell: -661.3
Density of states at the Fermi level in states/eV per cell: 0.0

***

[7]
Here is a relaxed Li2MgRu crystal from the Alexandria database. Energies are from GGA-PBE.

abc: 4.4278 4.4278 4.4278
angles: 60.00 60.00 60.00
Closest atoms and distances in Å follow each position.
Element x y z (fractional)
Li1 0.0000 0.0000 0.0000  4 Li 2.71, 4 Ru 2.71
Li2 0.2500 0.2500 0.2500  4 Mg 2.71, 4 Li 2.71
Mg1 0.5000 0.5000 0.5000  4 Ru 2.71, 4 Li 2.71
Ru1 0.7500 0.7500 0.7500  4 Mg 2.71, 4 Li 2.71

Results
Formation enthalpy at 0 K in meV/atom: 213
Spin magnetization in μB per atom: 0.176
SG: F-43m (216)
E in eV/cell: -13.8
Density of states at the Fermi level in states/eV per cell: 5.1

***

[8]
Here is a relaxed LaDyEr6 crystal from the Alexandria database. Energies are from GGA-PBE.

abc: 5.0060 7.0865 7.0865
angles: 89.98 90.00 90.00
Closest atoms and distances in Å follow each position.
Element x y z (fractional)
La1 0.5000 0.5000 0.5000  12 Er 3.54-3.56
Dy1 0.5000 0.0000 0.0000  12 Er 3.52-3.54
Er1 0.5000 0.0000 0.5000  8 Er 3.54, 2 La 3.54, 2 Dy 3.54
Er2 0.5000 0.5000 0.0000  8 Er 3.54, 2 Dy 3.54, 2 La 3.54
Er3 0.0000 0.2469 0.2469  8 Er 3.50-3.59, 2 Dy 3.52, 2 La 3.56
Er4 0.0000 0.7531 0.7531  8 Er 3.50-3.59, 2 Dy 3.52, 2 La 3.56
Er5 0.0000 0.7530 0.2470  8 Er 3.50-3.59, 2 Dy 3.52, 2 La 3.56
Er6 0.0000 0.2470 0.7530  8 Er 3.50-3.59, 2 Dy 3.52, 2 La 3.56

Results
Formation enthalpy at 0 K in meV/atom: 28
Spin magnetization in μB per atom: 0.000
SG: P4/mmm (123)
E in eV/cell: -36.7
Density of states at the Fermi level in states/eV per cell: 10.7

***

[9]
Here is a relaxed RbGeO3 crystal from the Alexandria database. Energies are from GGA-PBE.

abc: 4.2621 4.2621 4.2621
angles: 90.00 90.00 90.00
Closest atoms and distances in Å follow each position.
Element x y z (fractional)
Ge1 0.5000 0.5000 0.5000  12 O 3.01
O1 0.0000 0.5000 0.0000  2 Rb 2.13
O2 0.0000 0.0000 0.5000  2 Rb 2.13
O3 0.5000 0.0000 0.0000  2 Rb 2.13
Rb1 0.0000 0.0000 0.0000  6 O 2.13

Results
Spin magnetization in μB per atom: 0.000
SG: Pm-3m (221)
E in eV/cell: -15.8
Density of states at the Fermi level in states/eV per cell: 1.1

***

[10]
Here is a relaxed SbMo2 crystal from the Alexandria database. Energies are from GGA-PBE.

abc: 5.3717 5.3717 7.0272
angles: 71.81 71.81 34.19
Closest atoms and distances in Å follow each position.
Element x y z (fractional)
Sb1 0.6757 0.6757 0.3473  8 Mo 2.79-2.93
Sb2 0.3243 0.3243 0.6527  8 Mo 2.79-2.93
Mo1 0.0428 0.0428 0.7056  4 Mo 2.75-2.86, 5 Sb 2.79-2.91
Mo2 0.3749 0.3749 0.0340  1 Mo 2.45
Mo3 0.6251 0.6251 0.9660  1 Mo 2.45
Mo4 0.9572 0.9572 0.2944  4 Mo 2.75-2.86, 5 Sb 2.79-2.91

Results
Spin magnetization in μB per atom: 0.000
SG: C2/m (12)
E in eV/cell: -50.4
Density of states at the Fermi level in states/eV per cell: 4.5